(i)
Below is a geometry-optimized La2ZrCl2 structure, with properties calculated at the GGA-PBE level.

abc: 4.401 4.401 15.697
angles: 90.00 90.00 90.00
Space group I4/mmm (No. 139)
One atom of each set of equivalent atoms:
La (0.000, 0.000, 0.122)
Zr (0.000, 0.000, 0.500)
Cl (0.000, 0.500, 0.250)

Results
Its crystal system is tetragonal. The mass density is 4.8 g/cm³.

(ii)
Below is a geometry-optimized La2ZrCl2 structure, with properties calculated at the GGA-PBE level.

abc: 8.810 8.810 3.384
angles: 90.00 90.00 90.00
Space group P4/mbm (No. 127)
One atom of each set of equivalent atoms:
La (0.181, 0.319, 0.000)
Zr (0.000, 0.000, 0.000)
Cl (0.119, 0.619, 0.500)

Results
Its crystal system is tetragonal. The mass density is 5.6 g/cm³.

Which is most stable? The ranking, best first, is (i), (ii).

(i)
Below is a geometry-optimized Li2Cl3 structure, with properties calculated at the GGA-PBE level.

abc: 3.8422 3.8422 23.6909
angles: 90.00 90.00 120.00
Space group R-3m (No. 166, hexagonal axes)
One atom of each set of equivalent atoms:
Li (0.0000, 0.0000, 0.0992)
Cl (0.0000, 0.0000, 0.2768)
Cl (0.0000, 0.0000, 0.5000)

Results
Its crystal system is trigonal. The mass density is 2.0 g/cm³.

(ii)
Below is a geometry-optimized Li2Cl3 structure, with properties calculated at the GGA-PBE level.

abc: 5.9899 5.9899 19.0432
angles: 90.00 90.00 120.00
Space group R-3c (No. 167, hexagonal axes)
One atom of each set of equivalent atoms:
Li (0.0000, 0.0000, 0.1614)
Cl (0.0000, 0.3223, 0.2500)

Results
Its crystal system is trigonal. The mass density is 2.0 g/cm³.

Which is most stable? The ranking, best first, is (ii), (i).

(i)
Below is a geometry-optimized LiCl4 structure, with properties calculated at the GGA-PBE level.

abc: 9.549 8.265 4.839
angles: 90.00 120.03 90.00
Space group C2/m (No. 12)
One atom of each set of equivalent atoms:
Li (0.000, 0.000, 0.000)
Cl (0.249, 0.000, 0.501)
Cl (0.250, 0.000, 0.996)

Results
Its crystal system is monoclinic. The mass density is 1.5 g/cm³.

(ii)
Below is a geometry-optimized LiCl4 structure, with properties calculated at the GGA-PBE level.

abc: 4.871 4.871 4.871
angles: 90.00 90.00 90.00
Space group Pm-3m (No. 221)
One atom of each set of equivalent atoms:
Li (0.000, 0.000, 0.000)
Cl (0.000, 0.000, 0.500)
Cl (0.500, 0.500, 0.500)

Results
Its crystal system is cubic. The mass density is 2.1 g/cm³.

Which is most stable? The ranking, best first, is (i), (ii).

(i)
Below is a geometry-optimized Li3Cl structure, with properties calculated at the GGA-PBE level.

abc: 3.235 3.310 8.239
angles: 90.00 90.00 90.00
Space group Pmm2 (No. 25)
One atom of each set of equivalent atoms:
Li (0.000, 0.000, 0.000)
Li (0.000, 0.500, 0.366)
Li (0.500, 0.500, 0.730)
Cl (0.500, 0.000, 0.242)

Results
Its crystal system is orthorhombic. The mass density is 1.1 g/cm³.

(ii)
Below is a geometry-optimized Li3Cl structure, with properties calculated at the GGA-PBE level.

abc: 3.830 3.545 6.352
angles: 90.00 102.32 90.00
Space group P2/m (No. 10)
One atom of each set of equivalent atoms:
Li (0.000, 0.000, 0.000)
Li (0.441, 0.500, 0.747)
Cl (0.500, 0.000, 0.500)

Results
Its crystal system is monoclinic. The mass density is 1.1 g/cm³.

(iii)
Below is a geometry-optimized Li3Cl structure, with properties calculated at the GGA-PBE level.

abc: 3.750 3.750 11.858
angles: 90.00 90.00 90.00
Space group I4/mmm (No. 139)
One atom of each set of equivalent atoms:
Li (0.000, 0.000, 0.000)
Li (0.000, 0.500, 0.250)
Cl (0.000, 0.000, 0.500)

Results
Its crystal system is tetragonal. The mass density is 1.1 g/cm³.

(iv)
Below is a geometry-optimized Li3Cl structure, with properties calculated at the GGA-PBE level.

abc: 3.4049 3.4049 8.3425
angles: 90.00 90.00 120.00
Space group P-6m2 (No. 187)
One atom of each set of equivalent atoms:
Li (0.0000, 0.0000, 0.0000)
Li (0.6667, 0.3333, 0.3147)
Cl (0.0000, 0.0000, 0.5000)

Results
Its crystal system is hexagonal. The mass density is 1.1 g/cm³.

Which is most stable? The ranking, best first, is (iv), (ii), (i), (iii).

(i)
Below is a geometry-optimized Li3Cl structure, with properties calculated at the GGA-PBE level.

abc: 5.911 3.410 8.621
angles: 90.00 102.77 90.00
Space group C2/m (No. 12)
One atom of each set of equivalent atoms:
Li (0.000, 0.000, 0.000)
Li (0.225, 0.000, 0.683)
Cl (0.000, 0.500, 0.500)

Results
Its crystal system is monoclinic. The mass density is 1.1 g/cm³.

(ii)
Below is a geometry-optimized Li3Cl structure, with properties calculated at the GGA-PBE level.

abc: 9.2508 9.2508 3.2729
angles: 90.00 90.00 120.00
Space group R-3m (No. 166, hexagonal axes)
One atom of each set of equivalent atoms:
Li (0.0000, 0.5000, 0.0000)
Cl (0.0000, 0.0000, 0.0000)

Results
Its crystal system is trigonal. The mass density is 1.2 g/cm³.

(iii)
Below is a geometry-optimized Li3Cl structure, with properties calculated at the GGA-PBE level.

abc: 4.170 4.170 4.143
angles: 90.00 90.00 90.00
Space group P4/mmm (No. 123)
One atom of each set of equivalent atoms:
Li (0.000, 0.000, 0.000)
Li (0.000, 0.500, 0.500)
Cl (0.500, 0.500, 0.000)

Results
Its crystal system is tetragonal. The mass density is 1.3 g/cm³.

Which is most stable? The ranking, best first, is (i), (iii), (ii).

(i)
Below is a geometry-optimized Li3Cl structure, with properties calculated at the GGA-PBE level.

abc: 3.838 3.838 21.921
angles: 90.00 90.00 90.00
Space group I4/mmm (No. 139)
One atom of each set of equivalent atoms:
Li (0.000, 0.000, 0.126)
Li (0.000, 0.500, 0.000)
Li (0.000, 0.500, 0.250)
Cl (0.000, 0.000, 0.421)

Results
Its crystal system is tetragonal. The mass density is 1.2 g/cm³.

(ii)
Below is a geometry-optimized Li3Cl structure, with properties calculated at the GGA-PBE level.

abc: 5.9352 5.9352 9.7975
angles: 90.00 90.00 120.00
Space group P6_3/mmc (No. 194)
One atom of each set of equivalent atoms:
Li (0.0000, 0.5000, 0.0000)
Li (0.1816, 0.3632, 0.2500)
Cl (0.0000, 0.0000, 0.0000)
Cl (0.3333, 0.6667, 0.7500)

Results
Its crystal system is hexagonal. The mass density is 1.3 g/cm³.

Which is most stable? The ranking, best first, is (i), (ii).